The following is a DFT calculation (PBE) of a relaxed LiFe3P5 crystal.

Output
For the total energy, the calculation gives -54.126 eV/cell. Its magnetization is 1.88 μB/f.u.

Geometry as POSCAR:
```
LiFe3P5
1.0
4.8100 0.0000 0.0000
-2.4050 4.1656 0.0000
0.0000 0.0000 6.9812
Li Fe P
1 3 5
Direct
0.0000 0.0000 0.0000
0.0000 0.5000 0.5000
0.5000 0.0000 0.5000
0.5000 0.5000 0.5000
0.0000 0.0000 0.5000
0.3333 0.6667 0.2407
0.3333 0.6667 0.7593
0.6667 0.3333 0.2407
0.6667 0.3333 0.7593
```

***

The following is a DFT calculation (PBE) of a relaxed SmHoBi crystal.

Output
For the total energy, the calculation gives -14.328 eV/cell. Its magnetization is 0.01 μB/f.u.

Geometry as POSCAR:
```
SmHoBi
1.0
0.0000 3.6807 3.6807
3.6807 0.0000 3.6807
3.6807 3.6807 0.0000
Sm Ho Bi
1 1 1
Direct
0.0000 0.0000 0.0000
0.5000 0.5000 0.5000
0.7500 0.7500 0.7500
```

***

The following is a DFT calculation (PBE) of a relaxed YNpCu crystal.

Output
For the total energy, the calculation gives -21.288 eV/cell. The formation enthalpy at 0 K is 554.6 meV per atom. Its magnetization is 5.38 μB/f.u.

Geometry as POSCAR:
```
YNpCu
1.0
0.0000 3.3726 3.3726
3.3726 0.0000 3.3726
3.3726 3.3726 0.0000
Y Np Cu
1 1 1
Direct
0.0000 0.0000 0.0000
0.5000 0.5000 0.5000
0.7500 0.7500 0.7500
```

***

The following is a DFT calculation (PBE) of a relaxed RbTm2Cu3Te4S crystal.

Output
For the total energy, the calculation gives -95.233 eV/cell. Its magnetization is 0.00 μB/f.u.

Geometry as POSCAR:
```
RbTm2Cu3Te4S
1.0
2.1272 -7.7220 0.0000
2.1272 7.7220 0.0000
0.0000 0.0000 17.5432
Rb Tm Cu Te S
2 4 6 8 2
Direct
0.0750 0.9250 0.7500
0.9250 0.0750 0.2500
0.1939 0.8061 0.1025
0.1939 0.8061 0.3975
0.8061 0.1939 0.6025
0.8061 0.1939 0.8975
0.3294 0.6706 0.7500
0.4165 0.5835 0.0209
0.4165 0.5835 0.4791
0.5835 0.4165 0.5209
0.5835 0.4165 0.9791
0.6706 0.3294 0.2500
0.1658 0.8342 0.5702
0.1658 0.8342 0.9298
0.4438 0.5562 0.6256
0.4438 0.5562 0.8744
0.5562 0.4438 0.1256
0.5562 0.4438 0.3744
0.8342 0.1658 0.0702
0.8342 0.1658 0.4298
0.2383 0.7617 0.2500
0.7617 0.2383 0.7500
```

***

The following is a DFT calculation (PBE) of a relaxed PrYH2Cl4 crystal.

Output
For the total energy, the calculation gives -39.375 eV/cell. Its magnetization is 0.00 μB/f.u.

Geometry as POSCAR:
```
PrYH2Cl4
1.0
3.8579 0.0000 0.0000
-1.9290 3.3411 0.0000
0.0000 0.0000 13.3143
Pr Y H Cl
1 1 2 4
Direct
0.0000 0.0000 0.0000
0.0000 0.0000 0.5000
0.3333 0.6667 0.0000
0.6667 0.3333 0.5000
0.3333 0.6667 0.3709
0.3333 0.6667 0.6291
0.6667 0.3333 0.1368
0.6667 0.3333 0.8632
```

***

The following is a DFT calculation (PBE) of a relaxed CsTbPu crystal.

Output
Its distance to the lowest polymorph of the same formula is 0.27 eV/f.u. For the total energy, the calculation gives -15.486 eV/cell. Its magnetization is 6.57 μB/f.u.

Geometry as POSCAR:
```
CsTbPu
1.0
0.0000 3.9458 3.9458
3.9458 0.0000 3.9458
3.9458 3.9458 0.0000
Cs Tb Pu
1 1 1
Direct
0.0000 0.0000 0.0000
0.2500 0.2500 0.2500
0.7500 0.7500 0.7500
```

***

The following is a DFT calculation (PBE) of a relaxed TbAlB crystal.

Output
Its distance to the lowest polymorph of the same formula is 0.00 eV/f.u. For the total energy, the calculation gives -15.518 eV/cell. Its magnetization is 0.01 μB/f.u.

Geometry as POSCAR:
```
TbAlB
1.0
0.0000 2.9502 2.9502
2.9502 0.0000 2.9502
2.9502 2.9502 0.0000
Tb Al B
1 1 1
Direct
0.0000 0.0000 0.0000
0.5000 0.5000 0.5000
0.7500 0.7500 0.7500
```

***

The following is a DFT calculation (PBE) of a relaxed Ho2Sc2CBr2Cl3 crystal.

Output
Its distance to the lowest polymorph of the same formula is 0.34 eV/f.u. For the total energy, the calculation gives -55.428 eV/cell. Its magnetization is 0.02 μB/f.u.

Geometry as POSCAR:
```
Ho2Sc2CBr2Cl3
1.0
8.5874 -1.8169 0.0000
8.5874 1.8169 0.0000
-1.6502 0.0000 7.3156
Ho Sc C Br Cl
2 2 1 2 3
Direct
0.1398 0.1398 0.0774
0.8602 0.8602 0.9226
0.4998 0.4998 0.2012
0.5002 0.5002 0.7988
0.0000 0.0000 0.0000
0.3316 0.3316 0.1916
0.6684 0.6684 0.8084
0.0000 0.0000 0.5000
0.3458 0.3458 0.6576
0.6542 0.6542 0.3424
```